GGA-PBE ThSn2Ge2Pt7, relaxed; DFT formation energy = -0.625 eV/atom; electronic total energy = -6.204 eV per atom
1.0
3.992 -0.002 0.007
0.003 3.992 0.007
1.986 1.984 15.842
Ge Pt Sn Th
2 7 2 1
direct
0.622 0.622 0.757
0.378 0.378 0.243
0.073 0.573 0.855
0.573 0.073 0.855
0.500 0.500 0.000
0.301 0.301 0.398
0.699 0.699 0.602
0.927 0.427 0.145
0.427 0.927 0.145
0.214 0.214 0.573
0.786 0.786 0.427
0.000 0.000 0.000


GGA-PBE RbPuN2, relaxed; electronic total energy = -8.669 eV per atom; formation energy without anion corrections = -681.8 meV/atom; energy above the lowest structure with this stoichiometry = 0.000 eV/f.u.
1.0
-0.403 -0.065 3.507
-2.434 -2.101 1.459
3.537 -5.620 2.079
Pu Rb N
1 1 2
direct
0.000 0.000 0.000
0.500 0.500 0.500
0.716 0.716 0.851
0.284 0.284 0.149